VASP calculation (PBE+U) on a geometry-optimized KNaMoO2F4 structure.

Summary:
Its space-group type is No. 129. Its total DFT energy (no corrections) is -94.72 eV per cell. The calculation puts the spin magnetization at 0.06 μB/f.u. The calculation puts the density of states at the Fermi level at 0.0 states/eV/f.u.

POSCAR file:
```
KNaMoO2F4
1.0
6.093 0.000 0.000
0.000 6.093 0.000
0.000 0.000 8.442
K Na Mo O F
2 2 2 4 8
Cartesian
0.000 0.000 4.221
3.046 3.046 4.221
3.046 0.000 1.885
0.000 3.046 6.557
0.000 3.046 2.182
3.046 0.000 6.260
0.000 3.046 0.405
0.000 3.046 4.029
3.046 0.000 4.413
3.046 0.000 8.037
4.696 1.649 2.251
1.397 1.649 2.251
4.696 4.444 2.251
1.397 4.444 2.251
1.649 4.696 6.192
4.444 4.696 6.192
1.649 1.397 6.192
4.444 1.397 6.192
```